The following is a DFT calculation (PBE) of Cs2SnPdCl6 after structural relaxation.

The structure in POSCAR format:
```
Cs2SnPdCl6
1.0
0.000 5.277 5.277
5.277 0.000 5.277
5.277 5.277 0.000
Cs Sn Pd Cl
2 1 1 6
Cartesian
2.639 2.639 2.639
7.916 7.916 7.916
0.000 0.000 0.000
5.277 5.277 5.277
5.277 5.277 2.702
5.277 2.702 5.277
7.852 5.277 5.277
2.702 5.277 5.277
5.277 7.852 5.277
5.277 5.277 7.852
```

Calculated values
- ΔE_f (raw) (eV per atom) = -1.262
- total moment (μB/f.u.) = 0.02
- volume (A^3/atom) = 29.39
- total DFT energy (no corrections) (hartree per atom) = -0.127